(a)
HgPt2Br: PBEsol geometry, SCAN.

N(E_F)   2.4 states/eV/f.u.
Space-group type   Imm2
Spin magnetization   0.00 μB/cell

Cell lengths 2.945, 4.379, 6.472 Å; angles 109.77, 103.15, 90.00 degrees
Atoms (fractional coordinates):
Pt  0.297  0.797  0.593
Br  0.493  0.493  0.986
Hg  0.713  0.213  0.426
Pt  0.997  0.997  0.994

(b)
HgPt2Br: PBEsol geometry, SCAN.

N(E_F)   3.1 states/eV/f.u.
Space-group type   R3m
Spin magnetization   0.00 μB/cell

Cell lengths 3.562, 3.562, 7.799 Å; angles 76.80, 76.80, 60.00 degrees
Atoms (fractional coordinates):
Br  0.481  0.481  0.558
Pt  0.747  0.747  0.760
Hg  0.262  0.262  0.213
Pt  0.011  0.011  0.968

Going by the energies, (b) is most stable and the next is 0.285 eV/atom up.